The following is a PBE calculation of RbCuTcP2 after structural relaxation, from the Alexandria database.

Values from the calculation:
Uncorrected energy   -3.94 eV/atom
Space group   P4/mmm, No. 123
Energy of formation from the pure elements   1.314 eV/atom
Magnetization   3.80 Bohr magnetons per cell

a = 4.6432 Å, b = 4.6432 Å, c = 5.1836 Å
α = 90.00°, β = 90.00°, γ = 90.00°
Atoms (fractional coordinates):
Rb  0.0000  0.0000  0.0000
Cu  0.0000  0.0000  0.5000
Tc  0.5000  0.5000  0.0000
P  0.0000  0.5000  0.5000
P  0.5000  0.0000  0.5000